The following is a GGA-PBEsol calculation of a geometry-optimized InNi6W structure, from the Alexandria database.

a = 6.2814 Å, b = 6.2814 Å, c = 10.2884 Å
α = 90.00°, β = 90.00°, γ = 109.42°
Atoms (fractional coordinates):
Ni 0.5000 0.5000 0.5000
Ni 0.8813 0.6361 0.8691
Ni 0.1160 0.3706 0.3802
Ni 0.8813 0.6361 0.1309
Ni 0.1187 0.3639 0.1309
Ni 0.1187 0.3639 0.8691
Ni 0.5000 0.5000 0.0000
Ni 0.1160 0.3706 0.6198
Ni 0.6361 0.8813 0.1309
Ni 0.8840 0.6294 0.6198
Ni 0.2452 0.7548 0.7409
Ni 0.2452 0.7548 0.2591
Ni 0.7548 0.2452 0.7409
Ni 0.3706 0.1160 0.6198
Ni 0.8840 0.6294 0.3802
Ni 0.0000 0.0000 0.0000
Ni 0.6294 0.8840 0.6198
Ni 0.3706 0.1160 0.3802
Ni 0.6361 0.8813 0.8691
Ni 0.7548 0.2452 0.2591
Ni 0.0000 0.0000 0.5000
Ni 0.3639 0.1187 0.8691
Ni 0.3639 0.1187 0.1309
Ni 0.6294 0.8840 0.3802
In 0.5000 0.5000 0.2505
In 0.5000 0.5000 0.7495
In 0.2532 0.7468 0.0000
In 0.7468 0.2532 0.0000
W 0.0000 0.0000 0.7541
W 0.2489 0.7511 0.5000
W 0.7511 0.2489 0.5000
W 0.0000 0.0000 0.2459

Calculated values
Symmetry: Cmmm (65)
E_form in eV per atom: -0.102
Final energy in eV for the cell shown: -218.20
Total magnetization in μB per formula unit: 0.00
DOS(E_F) in states/eV/cell: 21.49

=====

The following is a GGA-PBEsol calculation of a geometry-optimized InNiW2 structure, from the Alexandria database.

a = 3.4758 Å, b = 4.0026 Å, c = 4.4006 Å
α = 90.00°, β = 90.00°, γ = 90.00°
Atoms (fractional coordinates):
W 0.0000 0.0000 0.0000
W 0.5000 0.5000 0.0000
In 0.5000 0.0000 0.5000
Ni 0.0000 0.5000 0.5000

Calculated values
Symmetry: Pmmm (47)
E_form in eV per atom: 0.322
Final energy in eV for the cell shown: -35.47
Total magnetization in μB per formula unit: 0.00
DOS(E_F) in states/eV/cell: 3.10

=====

The following is a GGA-PBEsol calculation of a geometry-optimized InNiW2 structure, from the Alexandria database.

a = 3.4201 Å, b = 4.0687 Å, c = 5.1247 Å
α = 113.39°, β = 109.49°, γ = 90.00°
Atoms (fractional coordinates):
W 0.2564 0.2564 0.5127
W 0.7436 0.7436 0.4873
Ni 0.0000 0.5000 0.0000
In 0.5000 0.0000 0.0000

Calculated values
Symmetry: Immm (71)
E_form in eV per atom: 0.283
Final energy in eV for the cell shown: -35.62
Total magnetization in μB per formula unit: 0.00
DOS(E_F) in states/eV/cell: 1.86